# 1
The following is a DFT calculation (GGA-PBE) of Rb3ZrBr6 after structural relaxation.

Computed properties:
* formation energy from raw total energies: -1515 meV/atom
* SG: Fm-3m
* volume: 42.03 A^3/atom

Cell lengths 8.4078, 8.4078, 8.4080 Å; angles 60.00, 60.00, 90.00 degrees
Site moments in Bohr magnetons follow the coordinates.
Element x y z (fractional)
Br 0.2276 0.2276 0.0000  0.00
Rb 0.2500 0.7500 0.5000  0.00
Br 0.2276 0.7724 0.0000  0.00
Br 0.7724 0.7724 0.4552  0.00
Rb 0.5000 0.5000 0.0000  0.00
Br 0.7724 0.7724 0.0000  0.00
Br 0.7724 0.2276 0.0000  0.00
Rb 0.7500 0.2500 0.5000  0.00
Br 0.2276 0.2276 0.5448  0.00
Zr 0.0000 0.0000 0.0000  0.69

---

# 2
The following is a DFT calculation (GGA-PBE) of Rb2ZrBr after structural relaxation.

Computed properties:
* formation energy from raw total energies: 446 meV/atom
* SG: Fm-3m
* volume: 48.54 A^3/atom

Cell lengths 6.4995, 6.4995, 6.4995 Å; angles 60.00, 60.00, 60.00 degrees
Site moments in Bohr magnetons follow the coordinates.
Element x y z (fractional)
Rb 0.7500 0.7500 0.7500  0.03
Zr 0.5000 0.5000 0.5000  1.74
Br 0.0000 0.0000 0.0000  0.00
Rb 0.2500 0.2500 0.2500  0.03

---

# 3
The following is a DFT calculation (GGA-PBE) of Rb3ZrBr7 after structural relaxation.

Computed properties:
* formation energy from raw total energies: -1538 meV/atom
* SG: Cm
* volume: 39.79 A^3/atom

Cell lengths 7.9364, 7.9364, 8.6397 Å; angles 64.51, 64.51, 86.89 degrees
Element x y z (fractional)
Br 0.1236 0.6466 0.1853
Br 0.6466 0.1236 0.1853
Rb 0.5046 0.5046 0.9110
Br 0.8022 0.8022 0.9022
Br 0.9928 0.2998 0.7375
Br 0.2998 0.9928 0.7375
Br 0.6766 0.6766 0.4194
Zr 0.9541 0.9541 0.0421
Rb 0.2297 0.7673 0.4884
Rb 0.7673 0.2297 0.4884
Br 0.1276 0.1276 0.1528

---

# 4
The following is a DFT calculation (GGA-PBE) of RbZr3Br after structural relaxation.

Computed properties:
* formation energy from raw total energies: 2122 meV/atom
* SG: Pm-3m
* volume: 27.73 A^3/atom

Cell lengths 5.1760, 5.1760, 5.1760 Å; angles 90.00, 90.00, 90.00 degrees
Element x y z (fractional)
Zr 0.0000 0.5000 0.0000
Rb 0.0000 0.0000 0.0000
Zr 0.5000 0.0000 0.0000
Br 0.5000 0.5000 0.5000
Zr 0.0000 0.0000 0.5000

---

> What is the formula in the fourth record?

RbZr3Br